The following is a PBE-GGA calculation of a relaxed CoRe2As crystal, from the Alexandria database.

a = 9.041 Å, b = 2.870 Å, c = 4.463 Å
α = 90.00°, β = 96.32°, γ = 90.00°
Sites, in units of the cell vectors:
Co1 0.000 0.000 0.000
Co2 0.500 0.500 0.000
Re1 0.223 0.500 0.229
Re2 0.277 0.000 0.771
Re3 0.723 0.000 0.229
Re4 0.777 0.500 0.771
As1 0.000 0.500 0.500
As2 0.500 0.000 0.500

Values from the calculation:
Space group   C2/m
Formation energy   0.279 eV per atom